The following is a DFT calculation (GGA-PBE) of CsHoZrS4 after structural relaxation.

abc: 6.963 7.044 9.770
angles: 90.00 110.60 90.00
Space group P2_1/m (No. 11)
Asymmetric unit:
Cs  0.232  0.250  0.450 [2 per cell]
Ho  0.352  0.750  0.045 [2 per cell]
Zr  0.093  0.250  0.850 [2 per cell]
S  0.073  0.250  0.085 [2 per cell]
S  0.263  0.750  0.304 [2 per cell]
S  0.323  0.001  0.821 [4 per cell]

Results
For the raw total energy, the calculation gives -41.9 eV/f.u. The calculation puts the raw formation energy at -1102 kJ/mol of formula units. The volume comes out at 32.04 Å³ per atom.